No. 1
Entry from the Alexandria database: a relaxed LiHoCoPb crystal (GGA-PBE).

Its total energy is -72.41 eV for the cell shown. The value obtained for the formation energy is -0.199 eV per atom.

The structure belongs to space group F-43m (No. 216); the cell edges are 6.633, 6.633 and 6.633 Å and the angles 90.00°, 90.00° and 90.00°. The asymmetric unit holds Li at (0.000, 0.000, 0.000), Ho at (0.250, 0.250, 0.250), Co at (0.000, 0.000, 0.500) and Pb at (0.250, 0.250, 0.750).


No. 2
Entry from the Alexandria database: a relaxed LiPmHoCo crystal (GGA-PBE).

Its total energy is -73.92 eV for the cell shown. The value obtained for the formation energy is -0.033 eV per atom.

The structure belongs to space group F-43m (No. 216); the cell edges are 6.953, 6.953 and 6.953 Å and the angles 90.00°, 90.00° and 90.00°. The asymmetric unit holds Li at (0.000, 0.000, 0.000), Pm at (0.250, 0.250, 0.250), Ho at (0.250, 0.250, 0.750) and Co at (0.000, 0.000, 0.500).


No. 3
Entry from the Alexandria database: a relaxed LiHoPuCo crystal (GGA-PBE).

Its total energy is -110.33 eV for the cell shown. The value obtained for the formation energy is 0.087 eV per atom.

The structure belongs to space group F-43m (No. 216); the cell edges are 6.820, 6.820 and 6.820 Å and the angles 90.00°, 90.00° and 90.00°. The asymmetric unit holds Li at (0.000, 0.000, 0.000), Ho at (0.250, 0.250, 0.750), Pu at (0.250, 0.250, 0.250) and Co at (0.000, 0.000, 0.500).


No. 4
Entry from the Alexandria database: a relaxed LiHoCoRu crystal (GGA-PBE).

Its total energy is -90.57 eV for the cell shown. The value obtained for the formation energy is 0.058 eV per atom.

The structure belongs to space group F-43m (No. 216); the cell edges are 6.304, 6.304 and 6.304 Å and the angles 90.00°, 90.00° and 90.00°. The asymmetric unit holds Li at (0.000, 0.000, 0.000), Ho at (0.250, 0.250, 0.750), Co at (0.000, 0.000, 0.500) and Ru at (0.250, 0.250, 0.250).


No. 5
Entry from the Alexandria database: a relaxed LiHoScCo crystal (GGA-PBE).

Its total energy is -81.49 eV for the cell shown. The value obtained for the formation energy is -0.111 eV per atom.

The structure belongs to space group F-43m (No. 216); the cell edges are 6.638, 6.638 and 6.638 Å and the angles 90.00°, 90.00° and 90.00°. The asymmetric unit holds Li at (0.000, 0.000, 0.000), Ho at (0.250, 0.250, 0.750), Sc at (0.250, 0.250, 0.250) and Co at (0.000, 0.000, 0.500).


No. 6
Entry from the Alexandria database: a relaxed LiHoCoSi crystal (GGA-PBE).

Its total energy is -81.82 eV for the cell shown. Its energy relative to the elements, uncorrected is -359 meV per atom.

The structure belongs to space group F-43m (No. 216); the cell edges are 6.198, 6.198 and 6.198 Å and the angles 90.00°, 90.00° and 90.00°. The asymmetric unit holds Li at (0.000, 0.000, 0.000), Ho at (0.250, 0.250, 0.750), Co at (0.000, 0.000, 0.500) and Si at (0.250, 0.250, 0.250).


No. 7
Entry from the Alexandria database: a relaxed LiHoCoSn crystal (GGA-PBE).

Its total energy is -76.62 eV for the cell shown. The value obtained for the formation energy is -0.388 eV per atom.

The structure belongs to space group F-43m (No. 216); the cell edges are 6.535, 6.535 and 6.535 Å and the angles 90.00°, 90.00° and 90.00°. The asymmetric unit holds Li at (0.000, 0.000, 0.000), Ho at (0.250, 0.250, 0.750), Co at (0.000, 0.000, 0.500) and Sn at (0.250, 0.250, 0.250).


No. 8
Entry from the Alexandria database: a relaxed LiHoTiCo crystal (GGA-PBE).

Its total energy is -85.37 eV for the cell shown. The value obtained for the formation energy is 0.038 eV per atom.

The structure belongs to space group F-43m (No. 216); the cell edges are 6.454, 6.454 and 6.454 Å and the angles 90.00°, 90.00° and 90.00°. The asymmetric unit holds Li at (0.000, 0.000, 0.000), Ho at (0.250, 0.250, 0.250), Ti at (0.250, 0.250, 0.750) and Co at (0.000, 0.000, 0.500).


No. 9
Entry from the Alexandria database: a relaxed LiYHoCo crystal (GGA-PBE).

Its total energy is -81.47 eV for the cell shown. The value obtained for the formation energy is -0.077 eV per atom.

The structure belongs to space group F-43m (No. 216); the cell edges are 6.869, 6.869 and 6.869 Å and the angles 90.00°, 90.00° and 90.00°. The asymmetric unit holds Li at (0.000, 0.000, 0.000), Y at (0.250, 0.250, 0.250), Ho at (0.250, 0.250, 0.750) and Co at (0.000, 0.000, 0.500).


No. 10
Entry from the Alexandria database: a relaxed LiHoZrCo crystal (GGA-PBE).

Its total energy is -88.93 eV for the cell shown. The value obtained for the formation energy is -0.022 eV per atom.

The structure belongs to space group F-43m (No. 216); the cell edges are 6.647, 6.647 and 6.647 Å and the angles 90.00°, 90.00° and 90.00°. The asymmetric unit holds Li at (0.000, 0.000, 0.000), Ho at (0.250, 0.250, 0.250), Zr at (0.250, 0.250, 0.750) and Co at (0.000, 0.000, 0.500).


No. 11
Entry from the Alexandria database: a relaxed HoLuCo crystal (GGA-PBE).

Its total energy is -65.98 eV for the cell shown. The value obtained for the formation energy is -0.096 eV per atom.

The structure belongs to space group F-43m (No. 216); the cell edges are 6.541, 6.541 and 6.541 Å and the angles 90.00°, 90.00° and 90.00°. The asymmetric unit holds Ho at (0.000, 0.000, 0.000), Lu at (0.000, 0.000, 0.500) and Co at (0.250, 0.250, 0.250).


No. 12
Entry from the Alexandria database: a relaxed HoLuCo2 crystal (GGA-PBE).

Its total energy is -96.66 eV for the cell shown. The value obtained for the formation energy is -0.213 eV per atom.

The structure belongs to space group Fm-3m (No. 225); the cell edges are 6.576, 6.576 and 6.576 Å and the angles 90.00°, 90.00° and 90.00°. The asymmetric unit holds Ho at (0.000, 0.000, 0.000), Lu at (0.000, 0.000, 0.500) and Co at (0.250, 0.250, 0.250).


No. 13
Entry from the Alexandria database: a relaxed HoLu2Co crystal (GGA-PBE).

Its total energy is -21.17 eV for the cell shown. The value obtained for the formation energy is -0.111 eV per atom.

The structure belongs to space group P4/mmm (No. 123); the cell edges are 3.322, 3.322 and 8.684 Å and the angles 90.00°, 90.00° and 90.00°. The asymmetric unit holds Ho at (0.000, 0.000, 0.000), Lu at (0.500, 0.500, 0.318) and Co at (0.000, 0.000, 0.500).


No. 14
Entry from the Alexandria database: a relaxed HoLuCo2 crystal (GGA-PBE).

Its total energy is -24.16 eV for the cell shown. The value obtained for the formation energy is -0.213 eV per atom.

The structure belongs to space group P4/mmm (No. 123); the cell edges are 4.645, 4.645 and 3.301 Å and the angles 90.00°, 90.00° and 90.00°. The asymmetric unit holds Ho at (0.000, 0.000, 0.000), Lu at (0.500, 0.500, 0.000) and Co at (0.000, 0.500, 0.500).


No. 15
Entry from the Alexandria database: a relaxed HoLuCo crystal (GGA-PBE).

Its total energy is -33.40 eV for the cell shown. The value obtained for the formation energy is -0.166 eV per atom.

The structure belongs to space group I4mm (No. 107); the cell edges are 3.318, 3.318 and 12.381 Å and the angles 90.00°, 90.00° and 90.00°. The asymmetric unit holds Ho at (0.000, 0.000, 0.000), Lu at (0.000, 0.000, 0.258) and Co at (0.000, 0.000, 0.632).


No. 16
Entry from the Alexandria database: a relaxed HoLu2Co crystal (GGA-PBE).

Its total energy is -60.43 eV for the cell shown. The value obtained for the formation energy is 0.146 eV per atom.

The structure belongs to space group R-3m (No. 166, hexagonal axes); the cell edges are 3.5016, 3.5016 and 30.4825 Å and the angles 90.00°, 90.00° and 120.00°. The asymmetric unit holds Ho at (0.0000, 0.0000, 0.0000), Lu at (0.0000, 0.0000, 0.1134) and Co at (0.0000, 0.0000, 0.5000).


No. 17
Entry from the Alexandria database: a relaxed HoLuCo4 crystal (GGA-PBE).

Its total energy is -156.30 eV for the cell shown. The value obtained for the formation energy is -0.259 eV per atom.

The structure belongs to space group F-43m (No. 216); the cell edges are 7.107, 7.107 and 7.107 Å and the angles 90.00°, 90.00° and 90.00°. The asymmetric unit holds Ho at (0.000, 0.000, 0.000), Lu at (0.250, 0.250, 0.750) and Co at (0.125, 0.125, 0.375).


No. 18
Entry from the Alexandria database: a relaxed Ho2LuCo crystal (GGA-PBE).

Its total energy is -20.98 eV for the cell shown. The value obtained for the formation energy is -0.049 eV per atom.

The structure belongs to space group P4/mmm (No. 123); the cell edges are 3.394, 3.394 and 8.580 Å and the angles 90.00°, 90.00° and 90.00°. The asymmetric unit holds Ho at (0.000, 0.000, 0.188), Lu at (0.500, 0.500, 0.500) and Co at (0.500, 0.500, 0.000).


No. 19
Entry from the Alexandria database: a relaxed Ho3LuCo crystal (GGA-PBE).

Its total energy is -25.31 eV for the cell shown. The value obtained for the formation energy is 0.009 eV per atom.

The structure belongs to space group Pm-3m (No. 221); the cell edges are 5.226, 5.226 and 5.226 Å and the angles 90.00°, 90.00° and 90.00°. The asymmetric unit holds Ho at (0.000, 0.000, 0.500), Lu at (0.500, 0.500, 0.500) and Co at (0.000, 0.000, 0.000).


No. 20
Entry from the Alexandria database: a relaxed Ho2LuCo crystal (GGA-PBE).

Its total energy is -61.98 eV for the cell shown. The value obtained for the formation energy is 0.031 eV per atom.

The structure belongs to space group R-3m (No. 166, hexagonal axes); the cell edges are 3.6187, 3.6187 and 27.8299 Å and the angles 90.00°, 90.00° and 120.00°. The asymmetric unit holds Ho at (0.0000, 0.0000, 0.2250), Lu at (0.0000, 0.0000, 0.0000) and Co at (0.0000, 0.0000, 0.5000).


No. 21
Entry from the Alexandria database: a relaxed HoLuCo crystal (GGA-PBE).

Its total energy is -16.39 eV for the cell shown. The value obtained for the formation energy is -0.063 eV per atom.

The structure belongs to space group P3m1 (No. 156); the cell edges are 3.8115, 3.8115 and 6.0750 Å and the angles 90.00°, 90.00° and 120.00°. The asymmetric unit holds Ho at (0.0000, 0.0000, 0.0000), Lu at (0.3333, 0.6667, 0.4681) and Co at (0.6667, 0.3333, 0.2375).


No. 22
Entry from the Alexandria database: a relaxed HoLuCoNi crystal (GGA-PBE).

Its total energy is -93.15 eV for the cell shown. The value obtained for the formation energy is -0.326 eV per atom.

The structure belongs to space group F-43m (No. 216); the cell edges are 6.614, 6.614 and 6.614 Å and the angles 90.00°, 90.00° and 90.00°. The asymmetric unit holds Ho at (0.000, 0.000, 0.000), Lu at (0.000, 0.000, 0.500), Co at (0.250, 0.250, 0.750) and Ni at (0.250, 0.250, 0.250).


No. 23
Entry from the Alexandria database: a relaxed HoLuCoOs crystal (GGA-PBE).

Its total energy is -113.04 eV for the cell shown. The value obtained for the formation energy is -0.206 eV per atom.

The structure belongs to space group F-43m (No. 216); the cell edges are 6.667, 6.667 and 6.667 Å and the angles 90.00°, 90.00° and 90.00°. The asymmetric unit holds Ho at (0.000, 0.000, 0.000), Lu at (0.000, 0.000, 0.500), Co at (0.250, 0.250, 0.250) and Os at (0.250, 0.250, 0.750).


No. 24
Entry from the Alexandria database: a relaxed HoLuCoPd crystal (GGA-PBE).

Its total energy is -94.37 eV for the cell shown. The value obtained for the formation energy is -0.549 eV per atom.

The structure belongs to space group F-43m (No. 216); the cell edges are 6.764, 6.764 and 6.764 Å and the angles 90.00°, 90.00° and 90.00°. The asymmetric unit holds Ho at (0.000, 0.000, 0.000), Lu at (0.000, 0.000, 0.500), Co at (0.250, 0.250, 0.750) and Pd at (0.250, 0.250, 0.250).


No. 25
Entry from the Alexandria database: a relaxed HoLuCoRh crystal (GGA-PBE).

Its total energy is -103.29 eV for the cell shown. The value obtained for the formation energy is -0.567 eV per atom.

The structure belongs to space group F-43m (No. 216); the cell edges are 6.679, 6.679 and 6.679 Å and the angles 90.00°, 90.00° and 90.00°. The asymmetric unit holds Ho at (0.000, 0.000, 0.000), Lu at (0.000, 0.000, 0.500), Co at (0.250, 0.250, 0.750) and Rh at (0.250, 0.250, 0.250).


No. 26
Entry from the Alexandria database: a relaxed HoLuCoRu crystal (GGA-PBE).

Its total energy is -107.17 eV for the cell shown. The value obtained for the formation energy is -0.328 eV per atom.

The structure belongs to space group F-43m (No. 216); the cell edges are 6.651, 6.651 and 6.651 Å and the angles 90.00°, 90.00° and 90.00°. The asymmetric unit holds Ho at (0.000, 0.000, 0.000), Lu at (0.000, 0.000, 0.500), Co at (0.250, 0.250, 0.750) and Ru at (0.250, 0.250, 0.250).


No. 27
Entry from the Alexandria database: a relaxed Ho2MgCo crystal (GGA-PBE).

Its total energy is -52.15 eV for the cell shown. The value obtained for the formation energy is 0.118 eV per atom.

The structure belongs to space group R-3m (No. 166, hexagonal axes); the cell edges are 3.6853, 3.6853 and 29.4927 Å and the angles 90.00°, 90.00° and 120.00°. The asymmetric unit holds Ho at (0.0000, 0.0000, 0.1158), Mg at (0.0000, 0.0000, 0.0000) and Co at (0.0000, 0.0000, 0.5000).


No. 28
Entry from the Alexandria database: a relaxed Ho6MgCo2 crystal (GGA-PBE).

Its total energy is -87.08 eV for the cell shown. The value obtained for the formation energy is -0.030 eV per atom.

The structure belongs to space group C2/m (No. 12); the cell edges are 11.036, 4.567 and 9.486 Å and the angles 90.00°, 105.88° and 90.00°. The asymmetric unit holds Ho at (0.022, 0.000, 0.345), Ho at (0.170, 0.500, 0.869), Ho at (0.227, 0.500, 0.349), Mg at (0.000, 0.000, 0.000) and Co at (0.104, 0.500, 0.572).


No. 29
Entry from the Alexandria database: a relaxed Ho2MgCo crystal (GGA-PBE).

Its total energy is -17.84 eV for the cell shown. The value obtained for the formation energy is 0.005 eV per atom.

The structure belongs to space group P4/mmm (No. 123); the cell edges are 4.946, 4.946 and 3.614 Å and the angles 90.00°, 90.00° and 90.00°. The asymmetric unit holds Ho at (0.000, 0.500, 0.000), Mg at (0.000, 0.000, 0.500) and Co at (0.500, 0.500, 0.500).


No. 30
Entry from the Alexandria database: a relaxed Ho2MgCo crystal (GGA-PBE).

Its total energy is -18.46 eV for the cell shown. The value obtained for the formation energy is -0.151 eV per atom.

The structure belongs to space group P4/mmm (No. 123); the cell edges are 3.382, 3.382 and 8.045 Å and the angles 90.00°, 90.00° and 90.00°. The asymmetric unit holds Ho at (0.000, 0.000, 0.201), Mg at (0.500, 0.500, 0.500) and Co at (0.500, 0.500, 0.000).